Fe2PRh | PBE | optimized geometry

Results
* formation enthalpy at 0 K: -0.18 eV per atom
* crystal system: orthorhombic

a b c (Å): 4.906 4.906 4.906
angles (deg): 146.64 130.42 61.08
Element x y z (fractional)
1 Fe 0.000 0.000 0.000
2 Fe 0.707 0.207 0.500
3 P 0.203 0.703 0.500
4 Rh 0.425 0.425 0.000

***

Ce2DyCuC | PBE | optimized geometry

Results
* formation enthalpy at 0 K: 0.02 eV per atom
* crystal system: tetragonal

a b c (Å): 4.863 4.863 4.871
angles (deg): 90.00 90.00 90.00
Element x y z (fractional)
1 Ce 0.000 0.500 0.000
2 Ce 0.500 0.000 0.000
3 Dy 0.000 0.000 0.500
4 Cu 0.500 0.500 0.499
5 C 0.000 0.000 0.000

***

Cs2Ag5Te4 | PBE | optimized geometry

Results
* formation energy (no corrections): -3.36 eV/f.u.
* crystal system: orthorhombic

a b c (Å): 10.638 8.473 7.885
angles (deg): 81.05 51.88 47.07
Element x y z (fractional)
1 Cs 0.155 0.155 0.845
2 Cs 0.845 0.845 0.155
3 Ag 0.000 0.000 0.500
4 Ag 0.250 0.250 0.250
5 Ag 0.500 0.500 0.000
6 Ag 0.500 0.500 0.500
7 Ag 0.750 0.750 0.750
8 Te 0.225 0.524 0.476
9 Te 0.476 0.775 0.225
10 Te 0.524 0.225 0.775
11 Te 0.775 0.476 0.524

***

NbTc3Rh | PBE | optimized geometry

Results
* formation enthalpy at 0 K: 1.89 eV per atom
* crystal system: cubic

a b c (Å): 4.635 4.635 4.635
angles (deg): 90.00 90.00 90.00
Element x y z (fractional)
1 Nb 0.000 0.000 0.000
2 Tc 0.000 0.000 0.500
3 Tc 0.000 0.500 0.000
4 Tc 0.500 0.000 0.000
5 Rh 0.500 0.500 0.500

***

Hf2FeNi9 | PBE | optimized geometry

Results
* formation enthalpy at 0 K: -0.36 eV per atom
* crystal system: tetragonal

a b c (Å): 3.679 3.679 10.954
angles (deg): 90.00 90.00 90.00
Element x y z (fractional)
1 Hf 0.000 0.000 0.173
2 Hf 0.000 0.000 0.827
3 Fe 0.000 0.000 0.500
4 Ni 0.000 0.500 0.000
5 Ni 0.000 0.500 0.346
6 Ni 0.000 0.500 0.654
7 Ni 0.500 0.000 0.000
8 Ni 0.500 0.000 0.346
9 Ni 0.500 0.000 0.654
10 Ni 0.500 0.500 0.171
11 Ni 0.500 0.500 0.500
12 Ni 0.500 0.500 0.829

***

PuSi2Os | PBE | optimized geometry

Results
* formation energy (no corrections): -1.35 eV/f.u.
* crystal system: tetragonal

a b c (Å): 3.017 3.017 7.105
angles (deg): 90.00 90.00 90.00
Element x y z (fractional)
1 Pu 0.000 0.000 0.000
2 Si 0.500 0.500 0.298
3 Si 0.500 0.500 0.702
4 Os 0.000 0.000 0.500

***

RbHfB | PBE | optimized geometry

Results
* formation enthalpy at 0 K: 0.78 eV per atom
* crystal system: hexagonal

a b c (Å): 3.774 3.774 13.702
angles (deg): 90.00 90.00 120.00
Element x y z (fractional)
1 Rb 0.000 0.000 0.000
2 Rb 0.000 0.000 0.500
3 Hf 0.333 0.667 0.245
4 Hf 0.333 0.667 0.755
5 B 0.667 0.333 0.194
6 B 0.667 0.333 0.806

***

CaNdMgAu | PBE | optimized geometry

Results
* formation enthalpy at 0 K: -0.40 eV per atom
* crystal system: cubic

a b c (Å): 5.317 5.317 5.317
angles (deg): 60.00 60.00 60.00
Element x y z (fractional)
1 Ca 0.000 0.000 0.000
2 Nd 0.500 0.500 0.500
3 Mg 0.250 0.250 0.250
4 Au 0.750 0.750 0.750

***

Number 1: calculated volume 49 Å³ per cell, magnetization 4.30 Bohr magnetons per cell. Number 2: calculated volume 115 Å³ per cell, magnetization 0.73 Bohr magnetons per cell. Number 3: calculated volume 363 Å³ per cell, magnetization 0.00 Bohr magnetons per cell. Number 4: calculated volume 100 Å³ per cell, magnetization 0.00 Bohr magnetons per cell. Number 5: calculated volume 148 Å³ per cell, magnetization 4.97 Bohr magnetons per cell. Number 6: calculated volume 65 Å³ per cell, magnetization 5.67 Bohr magnetons per cell. Number 7: calculated volume 169 Å³ per cell, magnetization 1.41 Bohr magnetons per cell. Number 8: calculated volume 106 Å³ per cell, magnetization 0.00 Bohr magnetons per cell.